*w*
DFT (PBE-GGA) results for an optimized crystal structure of CdSbSeI2.

Unit cell a=5.912 b=5.912 c=5.498 alpha=90.00 beta=90.00 gamma=90.00
Last column: magnetic moment on the atom in μB.
Fractional positions:
Se: 0.000 0.000 0.000  -0.05
Sb: 0.000 0.000 0.500  0.29
I: 0.500 0.000 0.000  0.00
I: 0.000 0.500 0.000  0.00
Cd: 0.500 0.500 0.500  -0.03

- Magnetic moment: 0.626 μB per formula unit
- DOS at the Fermi energy: 4.4 states/eV per cell
- Symmetry: No. 123


*x*
DFT (PBE-GGA) results for an optimized crystal structure of CdSbSeI2.

Unit cell a=5.682 b=5.682 c=5.917 alpha=90.00 beta=90.00 gamma=90.00
Last column: magnetic moment on the atom in μB.
Fractional positions:
I: 0.000 0.500 0.000  0.04
I: 0.500 0.000 0.000  0.04
Sb: 0.000 0.000 0.500  -0.31
Se: 0.500 0.500 0.500  0.78
Cd: 0.000 0.000 0.000  0.00

- Magnetic moment: 0.618 μB per formula unit
- DOS at the Fermi energy: 3.4 states/eV per cell
- Symmetry: No. 123


Which of them is the least stable? Correct choice: *x*.


*w*
DFT (PBE-GGA) results for an optimized crystal structure of CdSb2SeI.

Unit cell a=5.494 b=5.494 c=5.880 alpha=90.00 beta=90.00 gamma=90.00
Last column: magnetic moment on the atom in μB.
Fractional positions:
Se: 0.000 0.000 0.000  0.00
Cd: 0.500 0.500 0.500  0.00
Sb: 0.000 0.500 0.000  0.15
Sb: 0.500 0.000 0.000  0.15
I: 0.000 0.000 0.500  0.06

- Magnetic moment: 0.874 μB per formula unit
- DOS at the Fermi energy: 5.1 states/eV per cell
- Symmetry: No. 123


*x*
DFT (PBE-GGA) results for an optimized crystal structure of CdSb2SeI.

Unit cell a=5.630 b=5.630 c=5.520 alpha=90.00 beta=90.00 gamma=90.00
Fractional positions:
Sb: 0.000 0.500 0.000
Sb: 0.500 0.000 0.000
Cd: 0.000 0.000 0.000
Se: 0.500 0.500 0.500
I: 0.000 0.000 0.500

- Magnetic moment: 0.000 μB per formula unit
- DOS at the Fermi energy: 5.0 states/eV per cell
- Symmetry: No. 123


Which of them is the least stable? Correct choice: *x*.


*w*
DFT (PBE-GGA) results for an optimized crystal structure of CdSb2TeI.

Unit cell a=5.690 b=5.690 c=5.481 alpha=90.00 beta=90.00 gamma=90.00
Fractional positions:
Sb: 0.500 0.000 0.000
Sb: 0.000 0.500 0.000
Cd: 0.000 0.000 0.000
Te: 0.000 0.000 0.500
I: 0.500 0.500 0.500

- Magnetic moment: 0.000 μB per formula unit
- DOS at the Fermi energy: 6.1 states/eV per cell
- Symmetry: No. 123


*x*
DFT (PBE-GGA) results for an optimized crystal structure of CdSb2TeI.

Unit cell a=5.661 b=5.661 c=5.524 alpha=90.00 beta=90.00 gamma=90.00
Fractional positions:
Te: 0.500 0.500 0.500
Cd: 0.000 0.000 0.000
Sb: 0.500 0.000 0.000
Sb: 0.000 0.500 0.000
I: 0.000 0.000 0.500

- Magnetic moment: 0.000 μB per formula unit
- DOS at the Fermi energy: 4.9 states/eV per cell
- Symmetry: No. 123


Which of them is the least stable? Correct choice: *w*.


*w*
DFT (PBE-GGA) results for an optimized crystal structure of TiCdSbI2.

Unit cell a=6.207 b=5.478 c=6.207 alpha=90.00 beta=90.00 gamma=90.00
Last column: magnetic moment on the atom in μB.
Fractional positions:
I: 0.000 0.000 0.500  0.03
I: 0.500 0.000 0.000  0.03
Sb: 0.000 0.000 0.000  -0.02
Ti: 0.000 0.500 0.000  1.80
Cd: 0.500 0.500 0.500  -0.02

- Magnetic moment: 2.274 μB per formula unit
- DOS at the Fermi energy: 5.8 states/eV per cell
- Symmetry: No. 123


*x*
DFT (PBE-GGA) results for an optimized crystal structure of TiCdSbI2.

Unit cell a=5.689 b=5.689 c=5.673 alpha=90.00 beta=90.00 gamma=90.00
Last column: magnetic moment on the atom in μB.
Fractional positions:
I: 0.000 0.500 0.000  -0.01
I: 0.500 0.000 0.000  -0.01
Sb: 0.000 0.000 0.500  -0.02
Ti: 0.500 0.500 0.500  -0.07
Cd: 0.000 0.000 0.000  0.00

- Magnetic moment: 0.211 μB per formula unit
- DOS at the Fermi energy: 10.2 states/eV per cell
- Symmetry: No. 123


*y*
DFT (PBE-GGA) results for an optimized crystal structure of TiCdSbI2.

Unit cell a=5.481 b=5.481 c=5.553 alpha=90.00 beta=90.00 gamma=90.00
Last column: magnetic moment on the atom in μB.
Fractional positions:
Ti: 0.000 0.000 0.000  0.36
I: 0.000 0.500 0.000  0.00
I: 0.500 0.000 0.000  0.00
Sb: 0.000 0.000 0.500  -0.03
Cd: 0.500 0.500 0.500  0.00

- Magnetic moment: 0.359 μB per formula unit
- DOS at the Fermi energy: 3.8 states/eV per cell
- Symmetry: No. 123


Which of them is the least stable? Correct choice: *x*.